! CoAsNO PBE+U relaxed; values from VASP
&SYSTEM
  ibrav = 0, nat = 8, ntyp = 4
/
ATOMIC_SPECIES
As 74.92 As.upf
Co 58.93 Co.upf
N 14.01 N.upf
O 16.00 O.upf
CELL_PARAMETERS angstrom
2.518 -2.518 0.000
2.518 2.518 0.000
0.000 0.000 6.832
ATOMIC_POSITIONS crystal
As 0.000 0.000 0.163
As 0.500 0.500 0.837
Co 0.500 0.000 0.500
Co 0.000 0.500 0.500
N 0.500 0.500 0.398
N 0.000 0.000 0.602
O 0.500 0.000 0.000
O 0.000 0.500 0.000
! Excess energy over the best structure of this formula in the dataset = 2.24 eV/f.u.
! Symmetry = No. 129